Compound: LiPb2Se
Source: Alexandria
Functional: GGA-PBE
Structure: relaxed

Lattice parameters (Å, degrees): 4.016 4.023 6.458 90.00 90.00 90.00
Element x y z (fractional)
1 Pb 0.000 0.000 0.005
2 Pb 0.000 0.000 0.495
3 Se 0.500 0.500 0.250
4 Li 0.500 0.500 0.750

## Properties
Space group = No. 123
Raw formation energy = -0.178 eV per atom

***

Compound: V2CuCl
Source: Alexandria
Functional: GGA-PBE
Structure: relaxed

Lattice parameters (Å, degrees): 5.309 5.309 6.780 66.95 66.95 90.00
Each line ends with the local moment (μB).
Element x y z (fractional)
1 Cu 0.750 0.250 0.500  0.05
2 Cu 0.000 0.000 0.000  0.05
3 Cl 0.250 0.750 0.500  -0.07
4 Cl 0.500 0.500 0.000  -0.07
5 V 0.375 0.388 0.750  1.94
6 V 0.875 0.862 0.750  1.94
7 V 0.138 0.625 0.250  1.94
8 V 0.612 0.125 0.250  1.94

## Properties
Space group = No. 122
Raw formation energy = 0.803 eV per atom
Energy above the most stable polymorph in this dataset = 0.255 eV/atom

***

Compound: Ti2Tl3Te6Pd
Source: Alexandria
Functional: GGA-PBE
Structure: relaxed

Lattice parameters (Å, degrees): 7.114 7.114 8.310 98.05 98.05 120.02
Element x y z (fractional)
1 Te 0.398 0.063 0.191
2 Te 0.270 0.270 0.809
3 Te 0.937 0.602 0.809
4 Te 0.063 0.398 0.191
5 Te 0.602 0.937 0.809
6 Te 0.730 0.730 0.191
7 Ti 0.333 0.667 0.000
8 Ti 0.667 0.333 0.000
9 Tl 0.169 0.831 0.500
10 Tl 0.831 0.169 0.500
11 Tl 0.500 0.500 0.500
12 Pd 0.000 0.000 0.000

## Properties
Space group = No. 12
Raw formation energy = -0.428 eV per atom

***

Compound: NbBiPbO6
Source: Alexandria
Functional: GGA-PBE
Structure: relaxed

Lattice parameters (Å, degrees): 5.590 5.590 10.654 90.00 90.00 120.00
Element x y z (fractional)
1 O 0.372 0.388 0.358
2 O 0.984 0.612 0.858
3 O 0.016 0.628 0.358
4 O 0.016 0.388 0.142
5 O 0.388 0.016 0.642
6 O 0.612 0.984 0.358
7 O 0.628 0.016 0.858
8 O 0.388 0.372 0.858
9 O 0.372 0.984 0.142
10 O 0.984 0.372 0.642
11 O 0.612 0.628 0.142
12 O 0.628 0.612 0.642
13 Bi 0.333 0.667 0.750
14 Bi 0.667 0.333 0.250
15 Pb 0.000 0.000 0.500
16 Pb 0.000 0.000 0.000
17 Nb 0.667 0.333 0.750
18 Nb 0.333 0.667 0.250

## Properties
Space group = No. 163
Raw formation energy = -1.551 eV per atom

***

Compound: RbNaSm2I8
Source: Alexandria
Functional: GGA-PBE
Structure: relaxed

Lattice parameters (Å, degrees): 8.196 8.196 9.400 90.00 90.00 120.00
Element x y z (fractional)
1 I 0.333 0.667 0.587
2 I 0.309 0.936 0.157
3 I 0.628 0.691 0.157
4 I 0.064 0.372 0.157
5 I 0.372 0.309 0.843
6 I 0.691 0.064 0.843
7 I 0.667 0.333 0.413
8 I 0.936 0.628 0.843
9 Rb 0.000 0.000 0.500
10 Na 0.000 0.000 0.000
11 Sm 0.667 0.333 0.093
12 Sm 0.333 0.667 0.907

## Properties
Space group = No. 147
Raw formation energy = -1.334 eV per atom

***

Compound: AlOsW2
Source: Alexandria
Functional: GGA-PBE
Structure: relaxed

Lattice parameters (Å, degrees): 4.637 4.637 2.857 90.00 90.00 90.00
Element x y z (fractional)
1 Al 0.500 0.000 0.500
2 W 0.500 0.500 0.000
3 W 0.000 0.000 0.000
4 Os 0.000 0.500 0.500

## Properties
Space group = No. 123
E_form = 0.256 eV/atom

***

Compound: UFe4Sb
Source: Alexandria
Functional: GGA-PBE
Structure: relaxed

Lattice parameters (Å, degrees): 5.003 5.003 5.003 60.00 60.00 60.00
Each line ends with the local moment (μB).
Element x y z (fractional)
1 Fe 0.626 0.626 0.626  1.75
2 Fe 0.121 0.626 0.626  1.75
3 Fe 0.626 0.626 0.121  1.75
4 Fe 0.626 0.121 0.626  1.75
5 U 0.250 0.250 0.250  -1.93
6 Sb 0.000 0.000 0.000  -0.02

## Properties
Space group = No. 216
Raw formation energy = 0.037 eV per atom

***

Compound: Ce2PaPd2S6
Source: Alexandria
Functional: GGA-PBE
Structure: relaxed

Lattice parameters (Å, degrees): 7.183 7.183 5.791 90.00 90.00 120.00
Each line ends with the local moment (μB).
Element x y z (fractional)
1 S 0.707 0.659 0.232  -0.01
2 S 0.952 0.293 0.232  -0.01
3 S 0.293 0.341 0.768  -0.01
4 S 0.048 0.707 0.768  -0.01
5 S 0.341 0.048 0.232  -0.01
6 S 0.659 0.952 0.768  -0.01
7 Ce 0.667 0.333 0.889  0.57
8 Ce 0.333 0.667 0.111  0.57
9 Pd 0.333 0.667 0.572  -0.04
10 Pd 0.667 0.333 0.428  -0.04
11 Pa 0.000 0.000 0.000  0.01

## Properties
Space group = No. 147
Raw formation energy = -1.305 eV per atom

***

Compound: HoInTeS
Source: Alexandria
Functional: GGA-PBE
Structure: relaxed

Lattice parameters (Å, degrees): 4.197 4.198 8.348 90.00 104.57 120.00
Element x y z (fractional)
1 Ho 0.283 0.540 0.838
2 S 0.517 0.156 0.689
3 In 0.960 0.378 0.353
4 Te 0.117 0.957 0.089

## Properties
Space group = No. 160
Raw formation energy = -1.162 eV per atom

***

Compound: YBrO
Source: Alexandria
Functional: GGA-PBE
Structure: relaxed

Lattice parameters (Å, degrees): 3.793 5.917 5.836 90.00 90.00 90.00
Element x y z (fractional)
1 Y 0.000 0.871 0.411
2 Y 0.500 0.129 0.911
3 O 0.500 0.931 0.594
4 O 0.000 0.069 0.094
5 Br 0.000 0.387 0.616
6 Br 0.500 0.613 0.116

## Properties
Space group = No. 31
Raw formation energy = -2.768 eV per atom

***

Compound: BaLaSe2
Source: Alexandria
Functional: GGA-PBE
Structure: relaxed

Lattice parameters (Å, degrees): 6.359 4.495 4.497 90.00 90.00 90.00
Element x y z (fractional)
1 Se 0.000 0.875 0.875
2 Se 0.500 0.375 0.375
3 La 0.500 0.875 0.875
4 Ba 0.000 0.375 0.375

## Properties
Space group = No. 123
Raw formation energy = -1.934 eV per atom
Energy above the most stable polymorph in this dataset = 0.058 eV/atom

***

Compound: LaBi2Ru2
Source: Alexandria
Functional: GGA-PBE
Structure: relaxed

Lattice parameters (Å, degrees): 4.960 4.960 6.026 65.70 65.70 90.00
Each line ends with the local moment (μB).
Element x y z (fractional)
1 Bi 0.250 0.750 0.500  -0.01
2 Bi 0.750 0.250 0.500  -0.01
3 Ru 0.622 0.622 0.757  0.49
4 Ru 0.378 0.378 0.243  0.49
5 La 0.000 0.000 0.000  0.00

## Properties
Space group = No. 139
E_form = -0.064 eV/atom
Energy above the most stable polymorph in this dataset = 0.000 eV/atom

***

Compound: Th2GaSi3Ir4
Source: Alexandria
Functional: GGA-PBE
Structure: relaxed

Lattice parameters (Å, degrees): 4.186 4.186 10.172 90.00 90.00 90.00
Element x y z (fractional)
1 Ir 0.500 0.000 0.638
2 Ir 0.500 0.500 0.000
3 Ir 0.000 0.000 0.000
4 Ir 0.000 0.500 0.362
5 Si 0.000 0.500 0.128
6 Si 0.500 0.000 0.872
7 Si 0.000 0.000 0.500
8 Th 0.000 0.500 0.746
9 Th 0.500 0.000 0.254
10 Ga 0.500 0.500 0.500

## Properties
Space group = No. 115
Raw formation energy = -1.023 eV per atom

***

Compound: ScGe2Bi2
Source: Alexandria
Functional: GGA-PBE
Structure: relaxed

Lattice parameters (Å, degrees): 7.284 7.284 4.668 90.00 90.00 90.00
Element x y z (fractional)
1 Bi 0.179 0.679 0.500
2 Bi 0.821 0.321 0.500
3 Bi 0.679 0.821 0.500
4 Bi 0.321 0.179 0.500
5 Ge 0.130 0.370 0.000
6 Ge 0.870 0.630 0.000
7 Ge 0.630 0.130 0.000
8 Ge 0.370 0.870 0.000
9 Sc 0.500 0.500 0.000
10 Sc 0.000 0.000 0.000

## Properties
Space group = No. 127
E_form = -0.067 eV/atom
Energy above the most stable polymorph in this dataset = 0.000 eV/atom

***

Compound: ThScCd2
Source: Alexandria
Functional: GGA-PBE
Structure: relaxed

Lattice parameters (Å, degrees): 4.565 4.732 4.732 90.00 90.00 90.00
Element x y z (fractional)
1 Cd 0.000 0.500 0.000
2 Cd 0.000 0.000 0.500
3 Sc 0.500 0.000 0.000
4 Th 0.500 0.500 0.500

## Properties
Space group = No. 123
E_form = -0.090 eV/atom
Energy above the most stable polymorph in this dataset = 0.105 eV/atom

***

Compound: Li5CdBi6
Source: Alexandria
Functional: GGA-PBE
Structure: relaxed

Lattice parameters (Å, degrees): 4.775 8.645 7.628 90.00 71.76 90.00
Element x y z (fractional)
1 Bi 0.169 0.258 0.662
2 Bi 0.831 0.258 0.338
3 Bi 0.169 0.742 0.662
4 Bi 0.500 0.255 0.000
5 Bi 0.831 0.742 0.338
6 Bi 0.500 0.745 0.000
7 Li 0.666 0.000 0.669
8 Li 0.000 0.500 0.000
9 Li 0.334 0.000 0.331
10 Li 0.665 0.500 0.671
11 Li 0.335 0.500 0.329
12 Cd 0.000 0.000 0.000

## Properties
Space group = No. 65
E_form = -0.295 eV/atom

***

Compound: Na2Ag5Sb3
Source: Alexandria
Functional: GGA-PBE
Structure: relaxed

Lattice parameters (Å, degrees): 6.175 8.912 8.912 96.35 101.16 101.16
Element x y z (fractional)
1 Sb 0.087 0.791 0.501
2 Sb 0.587 0.501 0.791
3 Sb 0.913 0.209 0.499
4 Sb 0.413 0.499 0.209
5 Sb 0.250 0.985 0.015
6 Sb 0.750 0.015 0.985
7 Ag 0.495 0.790 0.702
8 Ag 0.250 0.490 0.510
9 Ag 0.750 0.510 0.490
10 Ag 0.426 0.711 0.999
11 Ag 0.995 0.702 0.790
12 Ag 0.005 0.298 0.210
13 Ag 0.074 0.001 0.289
14 Ag 0.926 0.999 0.711
15 Ag 0.505 0.210 0.298
16 Ag 0.574 0.289 0.001
17 Na 0.563 0.862 0.360
18 Na 0.063 0.360 0.862
19 Na 0.937 0.640 0.138
20 Na 0.437 0.138 0.640

## Properties
Space group = No. 15
Raw formation energy = -0.106 eV per atom

***

Compound: Si5As3Au12
Source: Alexandria
Functional: GGA-PBE
Structure: relaxed

Lattice parameters (Å, degrees): 12.944 12.944 12.944 109.47 109.47 109.47
Element x y z (fractional)
1 Au 0.878 0.601 0.927
2 Au 0.050 0.427 0.826
3 Au 0.601 0.878 0.427
4 Au 0.674 0.224 0.601
5 Au 0.174 0.073 0.950
6 Au 0.224 0.550 0.622
7 Au 0.399 0.122 0.573
8 Au 0.224 0.674 0.101
9 Au 0.927 0.826 0.550
10 Au 0.101 0.927 0.378
11 Au 0.122 0.724 0.550
12 Au 0.073 0.899 0.122
13 Au 0.601 0.724 0.674
14 Au 0.776 0.450 0.378
15 Au 0.326 0.550 0.427
16 Au 0.122 0.399 0.073
17 Au 0.101 0.174 0.224
18 Au 0.826 0.899 0.276
19 Au 0.878 0.276 0.450
20 Au 0.674 0.450 0.573
21 Au 0.326 0.776 0.399
22 Au 0.950 0.378 0.276
23 Au 0.622 0.050 0.224
24 Au 0.573 0.950 0.674
25 Au 0.550 0.326 0.927
26 Au 0.174 0.101 0.724
27 Au 0.776 0.326 0.899
28 Au 0.550 0.224 0.122
29 Au 0.399 0.276 0.326
30 Au 0.073 0.174 0.450
31 Au 0.427 0.378 0.601
32 Au 0.573 0.622 0.399
33 Au 0.950 0.573 0.174
34 Au 0.050 0.622 0.724
35 Au 0.378 0.427 0.101
36 Au 0.450 0.776 0.878
37 Au 0.899 0.073 0.622
38 Au 0.622 0.573 0.899
39 Au 0.724 0.122 0.050
40 Au 0.276 0.878 0.950
41 Au 0.427 0.050 0.326
42 Au 0.378 0.950 0.776
43 Au 0.276 0.399 0.826
44 Au 0.899 0.826 0.776
45 Au 0.826 0.927 0.050
46 Au 0.450 0.674 0.073
47 Au 0.724 0.601 0.174
48 Au 0.927 0.101 0.878
49 As 0.875 0.750 0.125
50 As 0.375 0.625 0.250
51 As 0.375 0.750 0.625
52 As 0.750 0.875 0.625
53 As 0.125 0.250 0.875
54 As 0.625 0.375 0.750
55 As 0.875 0.125 0.250
56 As 0.750 0.375 0.125
57 As 0.250 0.125 0.375
58 As 0.250 0.625 0.875
59 As 0.125 0.875 0.750
60 As 0.625 0.250 0.375
61 Si 0.625 0.750 0.875
62 Si 0.750 0.625 0.375
63 Si 0.000 0.500 0.500
64 Si 0.375 0.125 0.750
65 Si 0.000 0.000 0.000
66 Si 0.500 0.500 0.500
67 Si 0.875 0.625 0.750
68 Si 0.000 0.000 0.500
69 Si 0.125 0.750 0.375
70 Si 0.500 0.000 0.500
71 Si 0.875 0.250 0.625
72 Si 0.500 0.000 0.000
73 Si 0.500 0.500 0.000
74 Si 0.000 0.500 0.000
75 Si 0.250 0.375 0.625
76 Si 0.375 0.250 0.125
77 Si 0.750 0.125 0.875
78 Si 0.625 0.875 0.250
79 Si 0.125 0.375 0.250
80 Si 0.250 0.875 0.125

## Properties
Space group = No. 230
Raw formation energy = 0.165 eV per atom

***

Compound: AcPr2DyAs4
Source: Alexandria
Functional: GGA-PBE
Structure: relaxed

Lattice parameters (Å, degrees): 4.331 7.495 7.494 70.62 90.00 90.00
Element x y z (fractional)
1 Ac 0.500 0.500 0.000
2 Dy 0.000 0.500 0.500
3 As 0.000 0.246 0.262
4 As 0.500 0.746 0.261
5 As 0.000 0.754 0.738
6 As 0.500 0.254 0.739
7 Pr 0.000 0.000 0.000
8 Pr 0.500 0.000 0.500

## Properties
Space group = No. 10
E_form = -1.466 eV/atom

***

Compound: AlHgPbF6
Source: Alexandria
Functional: GGA-PBE
Structure: relaxed

Lattice parameters (Å, degrees): 5.973 5.973 9.437 90.00 90.00 120.00
Each line ends with the local moment (μB).
Element x y z (fractional)
1 Al 0.667 0.333 0.250  0.00
2 Al 0.333 0.667 0.750  0.00
3 F 0.690 0.094 0.364  0.04
4 F 0.596 0.690 0.636  0.04
5 F 0.404 0.094 0.136  0.04
6 F 0.310 0.906 0.636  0.04
7 F 0.310 0.404 0.864  0.04
8 F 0.906 0.596 0.364  0.04
9 F 0.690 0.596 0.136  0.04
10 F 0.404 0.310 0.364  0.04
11 F 0.094 0.404 0.636  0.04
12 F 0.906 0.310 0.136  0.04
13 F 0.094 0.690 0.864  0.04
14 F 0.596 0.906 0.864  0.04
15 Hg 0.667 0.333 0.750  0.40
16 Hg 0.333 0.667 0.250  0.40
17 Pb 0.000 0.000 0.000  0.01
18 Pb 0.000 0.000 0.500  0.01

## Properties
Space group = No. 163
Raw formation energy = -2.493 eV per atom